NpTlBi: relaxed, GGA-PBE.

Summary:
SG: No. 59
Raw total energy, eV/atom: -6.2323
Polymorph energy (0 for the lowest one), meV per atom: 0
DFT formation energy, eV per formula unit: 0.49

abc: 4.506 4.518 8.923
angles: 90.00 90.00 90.00
Each line ends with the local moment (μB).
Sites, in units of the cell vectors:
Np 0.500 0.000 0.315  4.04
Np 0.000 0.500 0.685  4.04
Tl 0.000 0.000 0.000  0.05
Tl 0.500 0.500 0.000  0.05
Bi 0.000 0.500 0.326  -0.12
Bi 0.500 0.000 0.674  -0.12